No. 1
# NdCoPN | Alexandria via LeMat-Bulk | PBE | optimized geometry
# **E_form (uncorrected)**: -1153 meV/atom
data_NdCoPN
_chemical_formula_sum 'Nd2 Co2 P2 N2'
_cell_length_a 3.7424
_cell_length_b 3.7424
_cell_length_c 8.0106
_cell_angle_alpha 90.00
_cell_angle_beta 90.00
_cell_angle_gamma 90.00
_symmetry_space_group_name_H-M 'P 4/n m m'
_symmetry_Int_Tables_number 129
loop_
_symmetry_equiv_pos_as_xyz
'x,y,z'
'-x,-y,-z'
'-y+1/2,x,z'
'y+1/2,-x,-z'
'-x+1/2,-y+1/2,z'
'x+1/2,y+1/2,-z'
'y,-x+1/2,z'
'-y,x+1/2,-z'
'x+1/2,-y,-z'
'-x+1/2,y,z'
'-y,-x,-z'
'y,x,z'
'-x,y+1/2,-z'
'x,-y+1/2,z'
'y+1/2,x+1/2,-z'
'-y+1/2,-x+1/2,z'
loop_
_atom_site_label
_atom_site_type_symbol
_atom_site_fract_x
_atom_site_fract_y
_atom_site_fract_z
Nd1 Nd 0.2500 0.2500 0.1691
Co1 Co 0.2500 0.7500 0.5000
P1 P 0.2500 0.2500 0.6479
N1 N 0.2500 0.2500 0.8624

No. 2
# Nd2CoP2N6 | Alexandria via LeMat-Bulk | PBE | optimized geometry
# **E_form (uncorrected)**: -559 meV/atom
data_Nd2CoP2N6
_chemical_formula_sum 'Nd6 Co3 P6 N18'
_cell_length_a 5.4139
_cell_length_b 5.4139
_cell_length_c 15.4293
_cell_angle_alpha 90.00
_cell_angle_beta 90.00
_cell_angle_gamma 120.00
_symmetry_space_group_name_H-M 'R -3 m'
_symmetry_Int_Tables_number 166
_symmetry_space_group_name_Hall '-R 3 2"'
loop_
_atom_site_label
_atom_site_type_symbol
_atom_site_fract_x
_atom_site_fract_y
_atom_site_fract_z
Nd1 Nd 0.0000 0.0000 0.2190
Co1 Co 0.0000 0.0000 0.0000
P1 P 0.0000 0.0000 0.4295
N1 N 0.0086 0.5043 0.7477

No. 3
# NdPa2CoN4 | Alexandria via LeMat-Bulk | PBE | optimized geometry
# **E_form (uncorrected)**: -1340 meV/atom
data_NdPa2CoN4
_chemical_formula_sum 'Nd4 Pa8 Co4 N16'
_cell_length_a 3.4714
_cell_length_b 11.5545
_cell_length_c 11.4148
_cell_angle_alpha 90.00
_cell_angle_beta 90.00
_cell_angle_gamma 90.00
_symmetry_space_group_name_H-M 'C m c m'
_symmetry_Int_Tables_number 63
_symmetry_space_group_name_Hall '-C 2c 2'
loop_
_atom_site_label
_atom_site_type_symbol
_atom_site_fract_x
_atom_site_fract_y
_atom_site_fract_z
Nd1 Nd 0.0000 0.1048 0.2500
Pa1 Pa 0.0000 0.3680 0.0617
Co1 Co 0.0000 0.1577 0.7500
N1 N 0.0000 0.0000 0.0000
N2 N 0.0000 0.2697 0.6138
N3 N 0.0000 0.4457 0.2500

No. 4
# NdPa2CoN5 | Alexandria via LeMat-Bulk | PBE | optimized geometry
# **E_form (uncorrected)**: -1010 meV/atom
data_NdPa2CoN5
_chemical_formula_sum 'Nd4 Pa8 Co4 N20'
_cell_length_a 3.4066
_cell_length_b 14.3896
_cell_length_c 9.8345
_cell_angle_alpha 90.00
_cell_angle_beta 90.00
_cell_angle_gamma 90.00
_symmetry_space_group_name_H-M 'C m c 21'
_symmetry_Int_Tables_number 36
_symmetry_space_group_name_Hall 'C 2c -2'
loop_
_atom_site_label
_atom_site_type_symbol
_atom_site_fract_x
_atom_site_fract_y
_atom_site_fract_z
Nd1 Nd 0.0000 0.2054 0.0000
Pa1 Pa 0.0000 0.0908 0.6892
Pa2 Pa 0.0000 0.1259 0.3060
Co1 Co 0.0000 0.4772 0.4712
N1 N 0.0000 0.0499 0.0875
N2 N 0.0000 0.2866 0.7191
N3 N 0.0000 0.3584 0.3586
N4 N 0.0000 0.3799 0.0242
N5 N 0.0000 0.4816 0.7896

No. 5
# NdPaCoN4 | Alexandria via LeMat-Bulk | PBE | optimized geometry
# **E_form (uncorrected)**: -783 meV/atom
data_NdPaCoN4
_chemical_formula_sum 'Nd2 Pa2 Co2 N8'
_cell_length_a 5.6527
_cell_length_b 5.0494
_cell_length_c 6.9217
_cell_angle_alpha 90.00
_cell_angle_beta 107.82
_cell_angle_gamma 90.00
_symmetry_space_group_name_H-M 'P 1 21/m 1'
_symmetry_Int_Tables_number 11
_symmetry_space_group_name_Hall '-P 2yb'
loop_
_atom_site_label
_atom_site_type_symbol
_atom_site_fract_x
_atom_site_fract_y
_atom_site_fract_z
Nd1 Nd 0.2101 0.2500 0.4355
Pa1 Pa 0.2554 0.2500 0.9457
Co1 Co 0.2769 0.7500 0.2048
N1 N 0.0571 0.7500 0.3520
N2 N 0.0901 0.7500 0.9392
N3 N 0.4879 0.0050 0.7655

No. 6
# NdPu2CoN4 | Alexandria via LeMat-Bulk | PBE | optimized geometry
# **E_form (uncorrected)**: -1045 meV/atom
data_NdPu2CoN4
_chemical_formula_sum 'Nd4 Pu8 Co4 N16'
_cell_length_a 3.4381
_cell_length_b 11.3282
_cell_length_c 11.4041
_cell_angle_alpha 90.00
_cell_angle_beta 90.00
_cell_angle_gamma 90.00
_symmetry_space_group_name_H-M 'C m c m'
_symmetry_Int_Tables_number 63
_symmetry_space_group_name_Hall '-C 2c 2'
loop_
_atom_site_label
_atom_site_type_symbol
_atom_site_fract_x
_atom_site_fract_y
_atom_site_fract_z
Nd1 Nd 0.0000 0.1025 0.2500
Pu1 Pu 0.0000 0.3688 0.0562
Co1 Co 0.0000 0.1594 0.7500
N1 N 0.0000 0.0000 0.0000
N2 N 0.0000 0.2627 0.6129
N3 N 0.0000 0.4408 0.2500